# Zn2CdCo2, optimized geometry, DFT GGA-PBE
data_Zn2CdCo2
_chemical_formula_sum 'Zn4 Cd2 Co4'
_space_group_name_H-M_alt 'P 4/m b m'
_space_group_IT_number 127
_space_group_name_Hall '-P 4 2ab'
_cell_length_a 7.137
_cell_length_b 7.137
_cell_length_c 2.794
_cell_angle_alpha 90.00
_cell_angle_beta 90.00
_cell_angle_gamma 90.00
loop_
_atom_site_label
_atom_site_type_symbol
_atom_site_fract_x
_atom_site_fract_y
_atom_site_fract_z
Zn1 Zn 0.177 0.323 0.000
Cd1 Cd 0.000 0.000 0.500
Co1 Co 0.115 0.615 0.500
# DOS(E_F) in states/eV per atom: 1.4071
# Energy of formation from the pure elements in eV per atom: 0.14
# Spin magnetization in μB per cell: 4.1
# Energy above the lowest structure with this stoichiometry in meV/atom: 0